Arrangement 1

Material: Al3CCl
Method: DFT, GGA-PBE
State: optimized geometry

It has space group Pm-3m (No. 221), with a = 4.8926 Å, b = 4.8926 Å, c = 4.8926 Å, α = 90.00°, β = 90.00° and γ = 90.00°. The inequivalent atoms are Al at (0.0000, 0.0000, 0.5000), C at (0.5000, 0.5000, 0.5000) and Cl at (0.0000, 0.0000, 0.0000).

For the density of states at the Fermi level, the calculation gives 0.874 states/eV/atom.

Arrangement 2

Material: Al3CCl
Method: DFT, GGA-PBE
State: optimized geometry

It has space group Pm-3m (No. 221), with a = 4.3763 Å, b = 4.3763 Å, c = 4.3763 Å, α = 90.00°, β = 90.00° and γ = 90.00°. The inequivalent atoms are Al at (0.0000, 0.0000, 0.5000), C at (0.0000, 0.0000, 0.0000) and Cl at (0.5000, 0.5000, 0.5000).

For the density of states at the Fermi level, the calculation gives 0.203 states/eV/atom.

Pick arrangement 2: it beats the second-best structure by 1.380 eV/atom.

Arrangement 1

Material: AlPCCl2
Method: DFT, GGA-PBE
State: optimized geometry

It has space group P4/mmm (No. 123), with a = 4.4189 Å, b = 4.4189 Å, c = 4.2076 Å, α = 90.00°, β = 90.00° and γ = 90.00°. The inequivalent atoms are Al at (0.0000, 0.0000, 0.0000), P at (0.5000, 0.5000, 0.0000), C at (0.5000, 0.5000, 0.5000) and Cl at (0.0000, 0.5000, 0.5000).

For the density of states at the Fermi level, the calculation gives 0.284 states/eV/atom.

Arrangement 2

Material: AlPCCl2
Method: DFT, GGA-PBE
State: optimized geometry

It has space group P4/mmm (No. 123), with a = 4.5720 Å, b = 4.5720 Å, c = 4.9581 Å, α = 90.00°, β = 90.00° and γ = 90.00°. The inequivalent atoms are Al at (0.0000, 0.0000, 0.0000), P at (0.0000, 0.0000, 0.5000), C at (0.5000, 0.5000, 0.5000) and Cl at (0.0000, 0.5000, 0.0000).

For the density of states at the Fermi level, the calculation gives 0.681 states/eV/atom.

Pick arrangement 1: it beats the second-best structure by 0.128 eV/atom.

Arrangement 1

Material: AlCo3C
Method: DFT, GGA-PBE
State: optimized geometry

It has space group Pm-3m (No. 221), with a = 3.7232 Å, b = 3.7232 Å, c = 3.7232 Å, α = 90.00°, β = 90.00° and γ = 90.00°. The inequivalent atoms are Al at (0.0000, 0.0000, 0.0000), Co at (0.0000, 0.5000, 0.5000) and C at (0.5000, 0.5000, 0.5000).

For the density of states at the Fermi level, the calculation gives 0.186 states/eV/atom.

Arrangement 2

Material: AlCo3C
Method: DFT, GGA-PBE
State: optimized geometry

It has space group Pm-3m (No. 221), with a = 4.2468 Å, b = 4.2468 Å, c = 4.2468 Å, α = 90.00°, β = 90.00° and γ = 90.00°. The inequivalent atoms are Al at (0.0000, 0.0000, 0.0000), Co at (0.0000, 0.0000, 0.5000) and C at (0.5000, 0.5000, 0.5000).

For the density of states at the Fermi level, the calculation gives 1.338 states/eV/atom.

Pick arrangement 1: it beats the second-best structure by 2.477 eV/atom.

Arrangement 1

Material: Al3CoC
Method: DFT, GGA-PBE
State: optimized geometry

It has space group Pm-3m (No. 221), with a = 3.9621 Å, b = 3.9621 Å, c = 3.9621 Å, α = 90.00°, β = 90.00° and γ = 90.00°. The inequivalent atoms are Al at (0.0000, 0.0000, 0.5000), Co at (0.5000, 0.5000, 0.5000) and C at (0.0000, 0.0000, 0.0000).

For the density of states at the Fermi level, the calculation gives 0.541 states/eV/atom.

Arrangement 2

Material: Al3CoC
Method: DFT, GGA-PBE
State: optimized geometry

It has space group Pm-3m (No. 221), with a = 4.4114 Å, b = 4.4114 Å, c = 4.4114 Å, α = 90.00°, β = 90.00° and γ = 90.00°. The inequivalent atoms are Al at (0.0000, 0.0000, 0.5000), Co at (0.0000, 0.0000, 0.0000) and C at (0.5000, 0.5000, 0.5000).

For the density of states at the Fermi level, the calculation gives 0.573 states/eV/atom.

Pick arrangement 1: it beats the second-best structure by 0.808 eV/atom.